# 1
A plane-wave DFT calculation with PBE-GGA was carried out for a geometry-optimized HgGe2I2 structure.

Structure (POSCAR):
```
HgGe2I2
1.0
3.866 0.000 0.000
0.000 3.866 0.000
0.000 0.000 23.032
Hg Ge I
2 4 4
direct
0.000 0.000 0.000
0.500 0.500 0.500
0.000 0.500 0.250
0.000 0.500 0.750
0.500 0.000 0.250
0.500 0.000 0.750
0.000 0.000 0.362
0.000 0.000 0.638
0.500 0.500 0.138
0.500 0.500 0.862
```

Summary:
energy relative to the lowest polymorph listed for this composition: 0 meV/atom
total DFT energy (no corrections): -24.21 eV for the cell shown
DOS at the Fermi energy: 4.2 states/eV per cell
formation energy (no corrections): 106 meV per atom
crystal system: tetragonal



# 2
A plane-wave DFT calculation with PBE-GGA was carried out for a geometry-optimized ReHg2As structure.

Structure (POSCAR):
```
ReHg2As
1.0
3.123 0.000 0.000
0.000 5.069 0.000
0.000 0.000 11.089
Re Hg As
2 4 2
direct
0.000 0.000 0.000
0.500 0.500 0.000
0.000 0.000 0.493
0.000 0.500 0.773
0.500 0.000 0.773
0.500 0.500 0.493
0.000 0.500 0.168
0.500 0.000 0.168
```

Summary:
total DFT energy (no corrections): -32.02 eV for the cell shown
DOS at the Fermi energy: 3.5 states/eV per cell
crystal system: orthorhombic
energy of formation from the pure elements: 422 meV per atom



# 3
A plane-wave DFT calculation with PBE-GGA was carried out for a geometry-optimized Cs2KBa structure.

Structure (POSCAR):
```
Cs2KBa
1.0
11.257 0.000 0.000
0.000 11.257 0.000
0.000 0.000 11.257
Cs K Ba
8 4 4
direct
0.250 0.250 0.250
0.250 0.250 0.750
0.250 0.750 0.250
0.250 0.750 0.750
0.750 0.250 0.250
0.750 0.250 0.750
0.750 0.750 0.250
0.750 0.750 0.750
0.000 0.000 0.000
0.000 0.500 0.500
0.500 0.000 0.500
0.500 0.500 0.000
0.000 0.000 0.500
0.000 0.500 0.000
0.500 0.000 0.000
0.500 0.500 0.500
```

Summary:
energy relative to the lowest polymorph listed for this composition: 23 meV/atom
total DFT energy (no corrections): -16.31 eV for the cell shown
DOS at the Fermi energy: 23.4 states/eV per cell
crystal system: cubic
energy of formation from the pure elements: 162 meV per atom



- Among the records above, which one has the highest total DFT energy (no corrections)?
  Cs2KBa